No. 1
First-principles (GGA-PBE) data for PrHPd after structural relaxation, as listed in Alexandria via LeMat-Bulk.

Properties
- space-group type = I4mm, No. 107
- energy relative to the lowest polymorph listed for this composition (meV/atom) = 333
- E (eV per atom) = -4.78

abc: 4.645 4.645 4.645
angles: 128.19 128.19 76.32
Positions (direct):
Pr 0.000 0.000 0.000
H 0.343 0.343 0.000
Pd 0.575 0.575 0.000



No. 2
First-principles (GGA-PBE) data for GaFe4Rh after structural relaxation, as listed in Alexandria via LeMat-Bulk.

Properties
- space-group type = P4/mmm, No. 123
- E_form (eV/atom) = -0.07
- E (eV per atom) = -7.44

abc: 2.992 2.992 8.452
angles: 90.00 90.00 90.00
Positions (direct):
Ga 0.000 0.000 0.000
Fe 0.000 0.000 0.320
Fe 0.000 0.000 0.680
Fe 0.500 0.500 0.164
Fe 0.500 0.500 0.836
Rh 0.500 0.500 0.500



No. 3
First-principles (GGA-PBE) data for Cs6SrI8 after structural relaxation, as listed in Alexandria via LeMat-Bulk.

Properties
- space-group type = R-3, No. 148
- E (eV per atom) = -2.85

abc: 10.010 10.010 10.010
angles: 68.89 68.89 68.89
Positions (direct):
Cs 0.014 0.807 0.438
Cs 0.193 0.562 0.986
Cs 0.438 0.014 0.807
Cs 0.562 0.986 0.193
Cs 0.807 0.438 0.014
Cs 0.986 0.193 0.562
Sr 0.500 0.500 0.500
I 0.157 0.157 0.157
I 0.180 0.407 0.664
I 0.336 0.820 0.593
I 0.407 0.664 0.180
I 0.593 0.336 0.820
I 0.664 0.180 0.407
I 0.820 0.593 0.336
I 0.843 0.843 0.843



No. 4
First-principles (GGA-PBE) data for CuO after structural relaxation, as listed in Alexandria via LeMat-Bulk.

Properties
- space-group type = Pm-3n, No. 223
- E (eV per atom) = -4.92

abc: 5.536 5.536 5.536
angles: 90.00 90.00 90.00
Positions (direct):
Cu 0.000 0.250 0.500
Cu 0.000 0.750 0.500
Cu 0.250 0.500 0.000
Cu 0.500 0.000 0.250
Cu 0.500 0.000 0.750
Cu 0.750 0.500 0.000
O 0.000 0.500 0.250
O 0.000 0.500 0.750
O 0.250 0.000 0.500
O 0.500 0.250 0.000
O 0.500 0.750 0.000
O 0.750 0.000 0.500



No. 5
First-principles (GGA-PBE) data for SmEuCoCu after structural relaxation, as listed in Alexandria via LeMat-Bulk.

Properties
- space-group type = F-43m, No. 216
- E_form (eV/atom) = 0.02
- E (eV per atom) = -6.52

abc: 4.942 4.942 4.942
angles: 60.00 60.00 60.00
Positions (direct):
Sm 0.000 0.000 0.000
Eu 0.500 0.500 0.500
Co 0.750 0.750 0.750
Cu 0.250 0.250 0.250



No. 6
First-principles (GGA-PBE) data for Er4AgPd2Au after structural relaxation, as listed in Alexandria via LeMat-Bulk.

Properties
- space-group type = R-3m, No. 166
- E_form (eV/atom) = -0.76
- E (eV per atom) = -5.10

abc: 8.657 8.657 8.657
angles: 33.54 33.54 33.54
Positions (direct):
Er 0.124 0.124 0.124
Er 0.374 0.374 0.374
Er 0.626 0.626 0.626
Er 0.876 0.876 0.876
Ag 0.500 0.500 0.500
Pd 0.247 0.247 0.247
Pd 0.753 0.753 0.753
Au 0.000 0.000 0.000



No. 7
First-principles (GGA-PBE) data for NaEu2Si after structural relaxation, as listed in Alexandria via LeMat-Bulk.

Properties
- space-group type = P4/mmm, No. 123
- E (eV per atom) = -7.03

abc: 3.762 3.762 9.039
angles: 90.00 90.00 90.00
Positions (direct):
Na 0.000 0.000 0.000
Eu 0.500 0.500 0.318
Eu 0.500 0.500 0.682
Si 0.000 0.000 0.500



No. 8
First-principles (GGA-PBE) data for SmDy4Ho7 after structural relaxation, as listed in Alexandria via LeMat-Bulk.

Properties
- space-group type = C2/m, No. 12
- energy relative to the lowest polymorph listed for this composition (meV/atom) = 193
- E_form (eV/atom) = 0.28
- E (eV per atom) = -4.32

abc: 6.679 6.679 12.603
angles: 115.02 115.02 51.83
Positions (direct):
Sm 0.000 0.000 0.000
Dy 0.247 0.247 0.682
Dy 0.366 0.366 0.225
Dy 0.634 0.634 0.775
Dy 0.753 0.753 0.318
Ho 0.060 0.060 0.326
Ho 0.211 0.211 0.923
Ho 0.366 0.366 0.498
Ho 0.500 0.500 0.000
Ho 0.634 0.634 0.502
Ho 0.789 0.789 0.077
Ho 0.940 0.940 0.674



Magnetization
In order: 0.00 10.74 0.00 0.30 6.76 0.00 14.02 0.00
Unit: μB/f.u.
Fermi-level density of states
In order: 1.89 5.66 0.00 15.78 5.74 6.13 2.01 20.48
Unit: states/eV/cell